Below is a relaxed FeCoMo2 crystal, with properties calculated at the PBE level.

a b c (Å): 2.685 2.685 26.541
angles (deg): 90.00 90.00 120.00
Sites, in units of the cell vectors:
Fe 0.000 0.000 0.000
Fe 0.333 0.667 0.667
Fe 0.667 0.333 0.333
Co 0.000 0.000 0.261
Co 0.333 0.667 0.927
Co 0.667 0.333 0.594
Mo 0.000 0.000 0.512
Mo 0.000 0.000 0.751
Mo 0.333 0.667 0.179
Mo 0.333 0.667 0.418
Mo 0.667 0.333 0.085
Mo 0.667 0.333 0.846

Summary:
Calculated volume   13.81 A^3/atom
ΔE to the lowest computed polymorph   0.203 eV/atom
DFT total energy   -108.20 eV/cell
Formation energy   112 kJ/mol of formula units